# In2NiW | Alexandria via LeMat-Bulk | PBE | relaxed
data_In2NiW
_chemical_formula_sum 'In4 Ni2 W2'
_symmetry_space_group_name_H-M 'I -4 m 2'
_symmetry_Int_Tables_number 119
_symmetry_space_group_name_Hall 'I -4 -2'
_cell_length_a 3.945
_cell_length_b 3.945
_cell_length_c 9.026
_cell_angle_alpha 90.00
_cell_angle_beta 90.00
_cell_angle_gamma 90.00
loop_
_atom_site_label
_atom_site_type_symbol
_atom_site_fract_x
_atom_site_fract_y
_atom_site_fract_z
In1 In 0.000 0.000 0.000
In2 In 0.000 0.500 0.250
Ni1 Ni 0.000 0.500 0.750
W1 W 0.000 0.000 0.500
# - calculated total energy (eV/cell) = -44.01
# - energy above the most stable polymorph in this dataset (meV per atom) = 265.5
# - ΔE_f (eV/atom) = 0.551